(1)
Material: Pm5SmCo2
Method: DFT, PBE-GGA
State: optimized geometry

The structure in POSCAR format:
```
Pm5SmCo2
1.0
3.984 0.000 0.000
1.992 8.674 1.890
1.992 4.412 7.703
Pm Sm Co
5 1 2
direct
0.000 0.500 0.500
0.661 0.591 0.087
0.339 0.409 0.913
0.339 0.913 0.409
0.661 0.087 0.591
0.000 0.000 0.000
0.821 0.679 0.679
0.179 0.321 0.321
```

Calculated values
For the final energy, the calculation gives -5.308 eV per atom. As for the formation energy: 27 meV per atom.

---

(2)
Material: K2Na4F
Method: DFT, PBE-GGA
State: optimized geometry

The structure in POSCAR format:
```
K2Na4F
1.0
4.966 0.000 0.000
0.000 4.966 0.000
2.483 2.483 11.391
Na K F
4 2 1
direct
0.896 0.896 0.207
0.104 0.104 0.793
0.000 0.500 0.000
0.500 0.000 0.000
0.687 0.687 0.626
0.313 0.313 0.374
0.000 0.000 0.000
```

Calculated values
The formation energy without anion corrections comes out at -4.67 eV per formula unit. For the final energy, the calculation gives -2.002 eV per atom.

---

(3)
Material: Cr3CdRu
Method: DFT, PBE-GGA
State: optimized geometry

The structure in POSCAR format:
```
Cr3CdRu
1.0
-3.897 -0.527 -2.326
-2.251 -0.659 3.921
-0.788 4.490 0.302
Ru Cr Cd
1 3 1
direct
0.500 0.500 0.500
0.000 0.500 0.000
0.000 0.000 0.500
0.500 0.000 0.000
0.000 0.000 0.000
```

Calculated values
For the final energy, the calculation gives -5.036 eV per atom. The value obtained for the energy above the most stable polymorph in this dataset is 1630 meV/atom. As for the formation energy: 2776 meV per atom.

---

(4)
Material: CaLa9Ho2
Method: DFT, PBE-GGA
State: optimized geometry

The structure in POSCAR format:
```
CaLa9Ho2
1.0
-2.745 4.363 0.936
-2.079 -2.223 4.265
11.867 5.600 8.703
Ca La Ho
1 9 2
direct
0.000 0.000 0.000
0.500 0.500 0.000
0.500 0.500 0.336
0.500 0.500 0.664
0.500 0.000 0.173
0.500 0.000 0.500
0.500 0.000 0.827
0.000 0.500 0.173
0.000 0.500 0.500
0.000 0.500 0.827
0.000 0.000 0.334
0.000 0.000 0.666
```

Calculated values
For the final energy, the calculation gives -4.603 eV per atom. As for the formation energy: 23 meV per atom.

---

(5)
Material: K2Cd4Ag5
Method: DFT, PBE-GGA
State: optimized geometry

The structure in POSCAR format:
```
K2Cd4Ag5
1.0
-2.572 -3.333 4.287
2.141 -2.736 -4.902
8.241 2.053 4.360
K Cd Ag
2 4 5
direct
0.863 0.863 0.726
0.137 0.137 0.274
0.469 0.788 0.257
0.531 0.212 0.743
0.212 0.531 0.743
0.788 0.469 0.257
0.500 0.500 0.000
0.500 0.000 0.000
0.000 0.500 0.000
0.750 0.250 0.500
0.250 0.750 0.500
```

Calculated values
For the final energy, the calculation gives -1.850 eV per atom. As for the formation energy: -22 meV per atom.

---

Record order is preserved below.
Theoretical density: 7.080 1.118 6.433 6.223 6.195 Mg/m³
Record order is preserved below.
DOS(E_F): 10.19 3.29 14.53 15.72 5.43 states/eV/cell
Record order is preserved below.
Spin magnetization: 0.00 0.00 0.25 0.00 0.00 μB per atom